! PBE TbPrSm6, optimized geometry; values from VASP
! polymorph energy (0 for the lowest one) = 0 meV/atom
! magnetic moment = 0.0 μB per formula unit
! E = -4.6973 eV/atom
! space group = P4/mmm (123)
&SYSTEM
  ibrav = 0, nat = 8, ntyp = 3
/
ATOMIC_SPECIES
Tb 158.93 Tb.upf
Pr 140.91 Pr.upf
Sm 150.36 Sm.upf
CELL_PARAMETERS angstrom
-1.949 3.146 -3.553
-3.897 1.130 3.139
5.417 7.786 3.922
ATOMIC_POSITIONS angstrom
Tb 2.709 3.893 1.961
Pr 0.000 0.000 0.000
Sm -2.923 2.138 -0.207
Sm -0.215 6.031 1.754
Sm 0.393 3.539 -0.786
Sm 3.075 7.393 1.155
Sm -0.581 2.531 2.560
Sm 2.101 6.385 4.501

! PBE NaAg2Cl, optimized geometry; values from VASP
! polymorph energy (0 for the lowest one) = 0 meV/atom
! magnetic moment = 0.0 μB per formula unit
! E = -2.4168 eV/atom
! space group = I-42d (122)
! energy relative to the elements, uncorrected = -0.20 eV/atom
&SYSTEM
  ibrav = 0, nat = 8, ntyp = 3
/
ATOMIC_SPECIES
Na 22.99 Na.upf
Ag 107.87 Ag.upf
Cl 35.45 Cl.upf
CELL_PARAMETERS angstrom
9.078 0.000 0.000
0.000 9.078 0.000
4.539 4.539 2.558
ATOMIC_POSITIONS angstrom
Na 4.539 4.539 0.000
Na 4.539 9.078 1.279
Ag 7.357 2.269 0.639
Ag 1.721 6.808 0.639
Ag 6.808 6.260 1.918
Ag 11.347 11.896 1.918
Cl 0.000 0.000 0.000
Cl 9.078 4.539 1.279

! PBE Ce3YTm2S6, optimized geometry; values from VASP
! magnetic moment = 2.5 μB per formula unit
! E = -6.8447 eV/atom
! space group = C2/m (12)
! energy relative to the elements, uncorrected = -2.01 eV/atom
&SYSTEM
  ibrav = 0, nat = 12, ntyp = 4
/
ATOMIC_SPECIES
Ce 140.12 Ce.upf
Y 88.91 Y.upf
Tm 168.93 Tm.upf
S 32.06 S.upf
CELL_PARAMETERS angstrom
6.788 -0.003 -0.001
-3.395 5.878 -0.001
-1.132 -1.961 6.547
ATOMIC_POSITIONS angstrom
Ce -2.279 3.926 3.273
Ce 4.539 -0.012 3.273
Ce 1.130 1.957 3.273
Y 0.000 0.000 0.000
Tm -0.002 3.918 -0.001
Tm 3.394 1.957 -0.001
S 3.406 1.932 5.009
S 2.248 3.892 1.526
S -1.145 1.982 1.537
S -0.029 3.915 5.009
S 0.012 0.021 5.019
S 2.289 -0.002 1.537

! PBE La5Bi4H, optimized geometry; values from VASP
! magnetic moment = 0.0 μB per formula unit
! E = -5.1638 eV/atom
! space group = I4 (79)
&SYSTEM
  ibrav = 0, nat = 10, ntyp = 3
/
ATOMIC_SPECIES
La 138.91 La.upf
Bi 208.98 Bi.upf
H 1.01 H.upf
CELL_PARAMETERS angstrom
6.598 0.000 0.000
3.299 7.284 0.000
3.299 0.000 7.284
ATOMIC_POSITIONS angstrom
La 9.904 2.914 5.847
La 6.605 5.847 4.370
La 6.605 1.437 2.914
La 3.306 4.370 1.437
La 2.876 0.000 0.000
Bi 6.608 2.885 5.813
Bi 9.907 5.813 4.399
Bi 3.308 1.472 2.885
Bi 6.608 4.399 1.472
H 0.427 0.000 0.000

! PBE Pr7Sm12In, optimized geometry; values from VASP
! magnetic moment = 0.0 μB per formula unit
! E = -4.4855 eV/atom
! space group = R-3 (148)
&SYSTEM
  ibrav = 0, nat = 20, ntyp = 3
/
ATOMIC_SPECIES
Pr 140.91 Pr.upf
Sm 150.36 Sm.upf
In 114.82 In.upf
CELL_PARAMETERS angstrom
8.644 1.701 -1.322
-1.759 8.632 -1.322
1.133 1.701 8.671
ATOMIC_POSITIONS angstrom
Pr 1.602 7.029 5.553
Pr 3.757 3.993 6.031
Pr 1.051 7.848 1.931
Pr 4.009 6.017 3.013
Pr 6.966 4.186 4.094
Pr 4.261 8.041 -0.006
Pr 6.416 5.005 0.472
Sm 0.456 4.399 7.241
Sm 6.686 3.804 7.601
Sm 4.162 2.423 2.198
Sm 7.041 8.084 2.639
Sm -0.018 9.919 4.309
Sm 5.730 7.260 6.029
Sm 2.287 4.774 -0.004
Sm 8.035 2.115 1.717
Sm 0.977 3.950 3.387
Sm 3.855 9.611 3.828
Sm 1.332 8.230 -1.575
Sm 7.561 7.635 -1.215
In 0.000 0.000 0.000

! PBE Tb2SmDy2, optimized geometry; values from VASP
! polymorph energy (0 for the lowest one) = 0 meV/atom
! magnetic moment = 0.0 μB per formula unit
! E = -4.5482 eV/atom
! space group = P4/mbm (127)
&SYSTEM
  ibrav = 0, nat = 10, ntyp = 3
/
ATOMIC_SPECIES
Tb 158.93 Tb.upf
Sm 150.36 Sm.upf
Dy 162.50 Dy.upf
CELL_PARAMETERS angstrom
9.363 0.000 0.000
0.000 9.363 0.000
0.000 0.000 3.727
ATOMIC_POSITIONS angstrom
Tb 1.183 5.865 0.000
Tb 5.865 8.180 0.000
Tb 8.180 3.498 0.000
Tb 3.498 1.183 0.000
Sm 0.000 0.000 0.000
Sm 4.682 4.682 0.000
Dy 3.078 7.759 1.864
Dy 7.759 6.286 1.864
Dy 6.286 1.604 1.864
Dy 1.604 3.078 1.864

E of number 6 (Tb2SmDy2)? -4.5482 eV/atom